Entry 1:
DFT (PBE-GGA) results for crystalline MgBiSeF2 at its relaxed geometry.

Structure (extended XYZ):
```
5
Lattice="4.3575 0.0000 0.0000 0.0000 4.3575 0.0000 0.0000 0.0000 6.4935" Properties=species:S:1:pos:R:3 pbc="T T T"
Mg 0.0000 0.0000 0.0000
Bi 0.0000 0.0000 3.2467
Se 2.1787 2.1787 0.0000
F 0.0000 2.1787 3.2467
F 2.1787 0.0000 3.2467
```

Crystal system: tetragonal
Uncorrected formation energy, eV/f.u.: -6.25

***

Entry 2:
DFT (PBE-GGA) results for crystalline Y2ScW at its relaxed geometry.

Structure (extended XYZ):
```
4
Lattice="1.9264 -2.5171 0.0000 1.9264 2.5171 0.0000 0.0000 0.0000 10.2789" Properties=species:S:1:pos:R:3 pbc="T T T"
Y 0.0000 0.0000 0.0000
Y 1.9264 0.0000 3.2064
Sc 1.9264 0.0000 7.4230
W 0.0000 0.0000 5.4223
```

Crystal system: orthorhombic
Energy relative to the elements, meV per atom: 386

***

Entry 3:
DFT (PBE-GGA) results for crystalline SmHg3Au at its relaxed geometry.

Structure (extended XYZ):
```
20
Lattice="10.1800 0.0000 0.0000 0.0000 5.0865 0.0000 0.0000 0.0000 9.4693" Properties=species:S:1:pos:R:3 pbc="T T T"
Sm 2.5049 1.2716 0.1163
Sm 2.5851 3.8149 4.8509
Sm 7.5949 1.2716 4.6184
Sm 7.6750 3.8149 9.3530
Hg 0.5284 3.8149 1.2961
Hg 0.6611 1.2716 3.8055
Hg 1.3604 3.8149 7.8900
Hg 3.7295 1.2716 3.1553
Hg 4.4289 3.8149 8.5401
Hg 4.5616 1.2716 6.0307
Hg 5.6184 3.8149 3.4386
Hg 5.7511 1.2716 0.9291
Hg 6.4504 3.8149 6.3140
Hg 8.8195 1.2716 1.5793
Hg 9.5189 3.8149 5.6638
Hg 9.6515 1.2716 8.1732
Au 1.7995 1.2716 6.5194
Au 3.2904 3.8149 1.7848
Au 6.8895 1.2716 7.6845
Au 8.3804 3.8149 2.9499
```

Crystal system: orthorhombic
Energy relative to the elements, meV per atom: -325

***

Entry 4:
DFT (PBE-GGA) results for crystalline LaZrIr at its relaxed geometry.

Structure (extended XYZ):
```
3
Lattice="-1.7217 1.7217 6.2042 1.7217 -1.7217 6.2042 1.7217 1.7217 -6.2042" Properties=species:S:1:pos:R:3 pbc="T T T"
La 0.0000 0.0000 0.0000
Zr 0.0000 0.0000 9.0047
Ir 0.0000 0.0000 4.0199
```

Crystal system: tetragonal
Energy relative to the elements, meV per atom: -401

***

Entry 5:
DFT (PBE-GGA) results for crystalline BaZn3B at its relaxed geometry.

Structure (extended XYZ):
```
5
Lattice="4.6234 0.0000 0.0000 0.0000 4.6234 0.0000 0.0000 0.0000 4.6234" Properties=species:S:1:pos:R:3 pbc="T T T"
Ba 0.0000 0.0000 0.0000
Zn 0.0000 2.3117 2.3117
Zn 2.3117 0.0000 2.3117
Zn 2.3117 2.3117 0.0000
B 2.3117 2.3117 2.3117
```

Crystal system: cubic
Energy relative to the elements, meV per atom: 347

***

Entry 6:
DFT (PBE-GGA) results for crystalline RbLi2Ga2 at its relaxed geometry.

Structure (extended XYZ):
```
5
Lattice="-2.5775 2.5775 4.8921 2.5775 -2.5775 4.8921 2.5775 2.5775 -4.8921" Properties=species:S:1:pos:R:3 pbc="T T T"
Rb 0.0000 0.0000 0.0000
Li 2.5775 0.0000 2.4460
Li 0.0000 2.5775 2.4460
Ga 0.0000 0.0000 3.6195
Ga 0.0000 0.0000 6.1646
```

Crystal system: tetragonal
Energy relative to the elements, meV per atom: 0